# 1
Here is a relaxed LiAg5 crystal from Alexandria. Energies are from PBEsol.

Space group: P4/mmm
ΔE_f in meV per atom: -56
Distance to the lowest polymorph of the same formula in meV/atom: 30

a = 2.8369 Å, b = 2.8369 Å, c = 12.0913 Å
α = 90.00°, β = 90.00°, γ = 90.00°
Atoms (fractional coordinates):
Ag: 0.0000 0.0000 0.8414
Ag: 0.0000 0.0000 0.1586
Ag: 0.5000 0.5000 0.6704
Ag: 0.5000 0.5000 0.3296
Ag: 0.0000 0.0000 0.5000
Li: 0.5000 0.5000 0.0000

***

# 2
Here is a relaxed Ba2PtClO crystal from Alexandria. Energies are from PBEsol.

Space group: P4/mmm
Formation energy (no corrections) in kJ/mol of atoms: -60.38

a = 4.4396 Å, b = 5.7551 Å, c = 5.7551 Å
α = 90.00°, β = 90.00°, γ = 90.00°
Atoms (fractional coordinates):
O: 0.5000 0.5000 0.5000
Ba: 0.0000 0.0000 0.5000
Ba: 0.0000 0.5000 0.0000
Pt: 0.5000 0.0000 0.0000
Cl: 0.0000 0.0000 0.0000

***

Number 1: volume 97.3 Å³/cell. Number 2: volume 147.0 Å³/cell.